Entry 1:
# Co2SbCl | Alexandria via LeMat-Bulk | PBE | optimized geometry
data_Co2SbCl
_chemical_formula_sum 'Co6 Sb3 Cl3'
_space_group_name_H-M_alt 'R -3 m'
_space_group_IT_number 166
_space_group_name_Hall '-R 3 2"'
_cell_length_a 3.2229
_cell_length_b 3.2229
_cell_length_c 21.4718
_cell_angle_alpha 90.00
_cell_angle_beta 90.00
_cell_angle_gamma 120.00
loop_
_atom_site_label
_atom_site_type_symbol
_atom_site_fract_x
_atom_site_fract_y
_atom_site_fract_z
_atom_site_occupancy
Co1 Co 0.0000 0.0000 0.2492 1
Sb1 Sb 0.0000 0.0000 0.0000 1
Cl1 Cl 0.0000 0.0000 0.5000 1
# Relative energy among the computed polymorphs = 232 meV/atom
# Crystal system = trigonal
# Total moment = 2.24 μB per formula unit
# Mass density = 7.1 Mg/m³
# Formation energy without anion corrections = 0.257 eV per atom

***

Entry 2:
# Co2SbCl | Alexandria via LeMat-Bulk | PBE | optimized geometry
data_Co2SbCl
_chemical_formula_sum 'Co8 Sb4 Cl4'
_space_group_name_H-M_alt 'I -4 2 d'
_space_group_IT_number 122
_space_group_name_Hall 'I -4 2bw'
_cell_length_a 5.234
_cell_length_b 5.234
_cell_length_c 11.072
_cell_angle_alpha 90.00
_cell_angle_beta 90.00
_cell_angle_gamma 90.00
loop_
_atom_site_label
_atom_site_type_symbol
_atom_site_fract_x
_atom_site_fract_y
_atom_site_fract_z
_atom_site_occupancy
Co1 Co 0.192 0.250 0.125 1
Sb1 Sb 0.000 0.000 0.500 1
Cl1 Cl 0.000 0.000 0.000 1
# Relative energy among the computed polymorphs = 276 meV/atom
# Crystal system = tetragonal
# Total moment = 0.00 μB per formula unit
# Mass density = 6.0 Mg/m³
# Formation energy without anion corrections = 0.301 eV per atom

***

Entry 3:
# Co2SbCl | Alexandria via LeMat-Bulk | PBE | optimized geometry
data_Co2SbCl
_chemical_formula_sum 'Co4 Sb2 Cl2'
_space_group_name_H-M_alt 'C 1 2/m 1'
_space_group_IT_number 12
_cell_length_a 6.443
_cell_length_b 6.440
_cell_length_c 3.039
_cell_angle_alpha 90.00
_cell_angle_beta 90.15
_cell_angle_gamma 90.00
loop_
_space_group_symop_operation_xyz
'x,y,z'
'-x,-y,-z'
'-x,y,-z'
'x,-y,z'
'x+1/2,y+1/2,z'
'-x+1/2,-y+1/2,-z'
'-x+1/2,y+1/2,-z'
'x+1/2,-y+1/2,z'
loop_
_atom_site_label
_atom_site_type_symbol
_atom_site_fract_x
_atom_site_fract_y
_atom_site_fract_z
_atom_site_occupancy
Co1 Co 0.250 0.250 0.000 1
Sb1 Sb 0.000 0.000 0.500 1
Cl1 Cl 0.000 0.500 0.500 1
# Relative energy among the computed polymorphs = 490 meV/atom
# Crystal system = monoclinic
# Total moment = 2.58 μB per formula unit
# Mass density = 7.2 Mg/m³
# Formation energy without anion corrections = 0.514 eV per atom

***

Entry 4:
# CoSbCl | Alexandria via LeMat-Bulk | PBE | optimized geometry
data_CoSbCl
_chemical_formula_sum 'Co1 Sb1 Cl1'
_space_group_name_H-M_alt 'P 3 m 1'
_space_group_IT_number 156
_cell_length_a 3.4087
_cell_length_b 3.4087
_cell_length_c 7.0482
_cell_angle_alpha 90.00
_cell_angle_beta 90.00
_cell_angle_gamma 120.00
loop_
_space_group_symop_operation_xyz
'x,y,z'
'-y,x-y,z'
'-x+y,-x,z'
'-y,-x,z'
'-x+y,y,z'
'x,x-y,z'
loop_
_atom_site_label
_atom_site_type_symbol
_atom_site_fract_x
_atom_site_fract_y
_atom_site_fract_z
_atom_site_occupancy
Co1 Co 0.0000 0.0000 0.0000 1
Sb1 Sb 0.6667 0.3333 0.2484 1
Cl1 Cl 0.3333 0.6667 0.8243 1
# Relative energy among the computed polymorphs = 0 meV/atom
# Crystal system = trigonal
# Total moment = 1.08 μB per formula unit
# Mass density = 5.1 Mg/m³
# Formation energy without anion corrections = -0.119 eV per atom